18
Lattice="-0.9563 -5.4812 -1.1741 8.7743 2.7499 -6.2132 5.8477 -2.5476 7.1305" Properties=species:S:1:pos:R:3 comment="Tb2CePmHo5, optimized geometry, DFT PBE" density_kg_m3=8124 dft_energy_ev_per_atom=-4.586 e_form_ev_per_atom=0.17 space_group="Cmc2_1, No. 36" pbc="T T T"
Ho 12.1806 -1.8905 -1.0952
Ho 9.2825 -1.8189 0.9313
Pm 6.5317 -5.0936 4.6884
Tb 6.3915 -1.7924 3.1618
Ho 6.7781 -0.0967 -5.0692
Ho 8.2812 -4.8625 2.1847
Ho 0.2989 -0.0364 -0.0735
Ho 6.3740 -0.8475 -1.2349
Ho 10.6112 -4.0420 -3.5435
Tb 6.7426 -3.2549 -4.0668
Ho 3.9881 -3.2878 -1.6698
Ce 3.3515 -0.0515 -2.4892
Ho 1.4324 -3.3655 0.7742
Pm 9.1727 -1.0735 -2.4592
Tb 10.7461 -4.8274 0.0133
Ho 4.4411 -4.1164 1.8293
Ce 7.6434 -4.0638 -1.0243
Tb 3.7610 -0.8181 0.7560